# ScAsBr2

ScAsBr2 after structural relaxation (PBE-GGA, the Alexandria database).

Summary:
Raw formation energy   -631 meV/atom
Electronic total energy   -0.1548 hartree per atom
ΔE to the lowest computed polymorph   343 meV/atom

Structure (POSCAR):
```
ScAsBr2
1.0
-6.210 -3.865 -7.312
-7.259 -5.780 -4.567
-8.616 -2.589 -5.101
As Br Sc
1 2 1
Cartesian
-16.564 -9.175 -12.735
-21.521 -11.921 -16.546
-11.607 -6.429 -8.924
-5.521 -3.058 -4.245
```